No. 1
VASP calculation (PBE-GGA) on a geometry-optimized BaYSe2F structure.

```
10
Lattice="4.2384 0.0000 0.0000 0.0000 4.2384 0.0000 0.0000 0.0000 14.9717" Properties=species:S:1:pos:R:3 pbc="T T T"
Se 2.1192 0.0000 4.3190
Se 2.1192 0.0000 13.6433
Se 0.0000 2.1192 1.3284
Se 0.0000 2.1192 10.6527
F 0.0000 0.0000 7.4858
F 2.1192 2.1192 7.4858
Ba 2.1192 0.0000 9.0988
Ba 0.0000 2.1192 5.8728
Y 0.0000 2.1192 13.2661
Y 2.1192 0.0000 1.7056
```

formation energy (no corrections) = -2.465 eV per atom
crystal system = tetragonal
DOS(E_F) = 0.1088 states/eV/atom
V = 269.0 Å³ per cell

***

No. 2
VASP calculation (PBE-GGA) on a geometry-optimized ThSi2IrPt2 structure.

```
6
Lattice="-1.5111 -2.7951 -2.5150 2.6501 1.1311 -2.8493 4.2950 -4.1053 5.2465" Properties=species:S:1:pos:R:3 pbc="T T T"
Si 3.8917 -4.2040 -0.9308
Si 1.5423 -1.5654 0.8130
Ir 0.0000 0.0000 0.0000
Pt 1.6767 -3.8662 0.0247
Pt 3.7573 -1.9031 -0.1425
Th 0.5695 -0.8320 -2.6822
```

formation energy (no corrections) = -0.780 eV per atom
crystal system = tetragonal
DOS(E_F) = 0.7589 states/eV/atom
V = 121.4 Å³ per cell

***

No. 3
VASP calculation (PBE-GGA) on a geometry-optimized Zr2AlSbPb structure.

```
5
Lattice="5.3872 0.0000 0.0000 0.0000 5.0369 0.0000 0.0000 0.0000 5.3872" Properties=species:S:1:pos:R:3 pbc="T T T"
Zr 0.0000 0.0000 2.6936
Zr 2.6936 0.0000 0.0000
Al 0.0000 2.5185 0.0000
Sb 0.0000 0.0000 0.0000
Pb 2.6936 2.5185 2.6936
```

formation energy (no corrections) = 0.635 eV per atom
crystal system = tetragonal
DOS(E_F) = 1.0659 states/eV/atom
V = 146.2 Å³ per cell

***

No. 4
VASP calculation (PBE-GGA) on a geometry-optimized La3Tb2Nd8 structure.

```
26
Lattice="14.5614 -1.4646 -1.0308 -8.5975 3.8812 0.7550 -1.5096 0.8080 21.1270" Properties=species:S:1:pos:R:3 pbc="T T T"
La 2.3796 1.0776 5.2123
La 2.0746 2.1470 15.6389
La 0.0000 0.0000 0.0000
La 6.5259 -0.3283 10.0481
La -3.9882 2.2439 5.4684
La 8.4424 0.9808 15.3827
Tb 4.0362 1.9819 11.1422
Tb 0.4181 1.2427 9.7090
Tb 7.0857 0.3467 19.6127
Tb -2.6315 2.8780 1.2385
Nd -7.0155 3.9600 13.3697
Nd -4.4411 2.4060 19.3078
Nd 5.0503 0.2205 13.9861
Nd 5.3135 1.6258 17.1049
Nd -1.5711 2.2580 17.5735
Nd 8.8954 0.8187 1.5434
Nd -0.8592 1.5989 3.7463
Nd 9.8694 -0.0968 11.5068
Nd 1.7863 1.3066 19.3141
Nd -0.5960 3.0042 6.8651
Nd -5.4151 3.3215 9.3444
Nd 6.0253 0.9667 3.2777
Nd 11.4697 -0.7354 7.4815
Nd -1.1731 1.5640 14.1403
Nd 2.6680 1.9180 1.5371
Nd 5.6274 1.6607 6.7109
```

crystal system = triclinic
formation enthalpy at 0 K = 0.11 eV per atom
DOS(E_F) = 1.5002 states/eV/atom
V = 921.9 Å³ per cell

***

No. 5
VASP calculation (PBE-GGA) on a geometry-optimized In2SiN structure.

```
4
Lattice="-1.6528 -4.3324 -0.6547 -4.4073 -0.6302 -1.4522 -0.8364 -1.5565 -4.3368" Properties=species:S:1:pos:R:3 pbc="T T T"
In -1.7241 -1.6298 -1.6109
In -5.1724 -4.8893 -4.8328
Si -3.4482 -3.2595 -3.2219
N 0.0000 0.0000 0.0000
```

formation energy (no corrections) = 1.105 eV per atom
crystal system = cubic
DOS(E_F) = 0.6840 states/eV/atom
V = 72.6 Å³ per cell

***

No. 6
VASP calculation (PBE-GGA) on a geometry-optimized Cs2LiPa2Te6 structure.

```
11
Lattice="-5.1533 -5.0982 -2.7247 6.6438 1.1810 -3.7996 3.4825 -5.3524 6.9533" Properties=species:S:1:pos:R:3 pbc="T T T"
Te 0.7109 -5.6504 3.4360
Te 0.2211 -5.7702 -2.6388
Te 3.4529 -6.4628 0.1425
Te 4.2621 -3.6193 -3.0070
Te 1.5201 -2.8068 0.2864
Te 4.7519 -3.4995 3.0678
Pa 4.4541 -3.5875 0.0352
Pa 0.5189 -5.6821 0.3938
Cs -3.2335 -4.0763 -2.8996
Cs 4.7240 0.1591 -3.6247
Li 1.7412 -2.6762 3.4766
```

formation energy (no corrections) = -0.979 eV per atom
crystal system = monoclinic
DOS(E_F) = 0.9552 states/eV/atom
V = 473.6 Å³ per cell

***

No. 7
VASP calculation (PBE-GGA) on a geometry-optimized LiNpBO6 structure.

```
18
Lattice="4.8891 0.0000 0.0000 -2.4445 4.2341 0.0000 0.0000 0.0000 9.2100" Properties=species:S:1:pos:R:3 pbc="T T T"
Li 0.0000 0.0000 0.0000
Li 0.0000 0.0000 4.6050
Np 0.0000 2.8227 2.3025
Np 2.4445 1.4113 6.9075
B 0.0000 2.8227 6.9075
B 2.4445 1.4113 2.3025
O 3.1490 2.6282 3.2846
O -0.7045 1.6059 5.9255
O 0.7045 1.6059 7.8896
O 1.7430 0.1928 1.3205
O 1.0385 1.4131 3.2846
O -1.4061 2.8210 7.8896
O 1.4061 2.8210 5.9255
O 3.8506 1.4131 1.3205
O 3.1461 0.1928 3.2846
O 1.7400 2.6282 1.3205
O 0.7015 4.0412 7.8896
O -0.7015 4.0412 5.9255
```

formation energy (no corrections) = -1.711 eV per atom
crystal system = trigonal
DOS(E_F) = 0.7951 states/eV/atom
V = 190.7 Å³ per cell

***

No. 8
VASP calculation (PBE-GGA) on a geometry-optimized LaTb4Pm2Ho structure.

```
8
Lattice="3.6147 0.0000 0.0000 0.0000 6.2243 -0.0719 0.0000 2.2688 11.7172" Properties=species:S:1:pos:R:3 pbc="T T T"
Tb 1.8074 5.2318 2.9103
Tb 0.0001 6.3694 8.6955
Tb 1.8074 3.2613 8.7350
Tb 3.6147 2.1238 2.9498
La 1.8074 5.3810 11.6813
Pm 1.8074 1.1344 5.8586
Pm 0.0000 2.2688 11.7172
Ho 0.0000 4.2465 5.8227
```

crystal system = monoclinic
formation enthalpy at 0 K = 0.02 eV per atom
DOS(E_F) = 1.4659 states/eV/atom
V = 264.2 Å³ per cell

***

No. 9
VASP calculation (PBE-GGA) on a geometry-optimized TbZn2Pd5 structure.

```
8
Lattice="4.0348 0.0000 0.0000 2.0174 6.4427 1.5158 2.0174 2.6737 6.0545" Properties=species:S:1:pos:R:3 pbc="T T T"
Pd 4.0348 6.5722 3.6393
Pd 4.0348 2.5442 3.9310
Pd 2.0174 4.5582 3.7852
Pd 4.0348 4.7848 5.7917
Pd 4.0348 4.3315 1.7787
Zn 6.0522 6.4934 5.3922
Zn 2.0174 2.6230 2.1782
Tb 0.0000 0.0000 0.0000
```

crystal system = orthorhombic
formation enthalpy at 0 K = -0.56 eV per atom
DOS(E_F) = 0.2554 states/eV/atom
V = 141.0 Å³ per cell

***

No. 10
VASP calculation (PBE-GGA) on a geometry-optimized KCa2Ta structure.

```
4
Lattice="-0.3782 -2.3519 4.9016 1.9685 -3.9100 3.2461 5.7106 5.0519 3.3404" Properties=species:S:1:pos:R:3 pbc="T T T"
Ca 1.9063 -5.8975 8.2526
Ca 3.3344 -0.9694 5.6391
K 5.4756 -0.9075 8.6160
Ta 1.8252 -0.3025 2.8720
```

crystal system = monoclinic
formation enthalpy at 0 K = 0.92 eV per atom
DOS(E_F) = 1.1700 states/eV/atom
V = 141.2 Å³ per cell

***

No. 11
VASP calculation (PBE-GGA) on a geometry-optimized Mg2TaTc structure.

```
4
Lattice="-4.5159 -0.0043 1.9537 -3.7297 -2.6450 1.8176 1.8114 0.2760 5.1084" Properties=species:S:1:pos:R:3 pbc="T T T"
Mg -4.8154 -1.7791 6.7017
Mg -6.4054 -2.3634 8.8530
Ta -3.2623 -1.1937 4.3156
Tc -1.6024 -0.5972 2.3290
```

crystal system = monoclinic
formation enthalpy at 0 K = 0.22 eV per atom
DOS(E_F) = 0.5467 states/eV/atom
V = 70.5 Å³ per cell

***

No. 12
VASP calculation (PBE-GGA) on a geometry-optimized Na2LiPb3 structure.

```
12
Lattice="-2.5276 -3.5612 -2.0678 4.0661 -3.0144 -5.4240 3.6610 -6.1900 6.1844" Properties=species:S:1:pos:R:3 pbc="T T T"
Pb 3.1091 -4.0342 -2.4982
Pb 5.0689 -7.3477 0.8123
Pb 1.5362 -6.5150 3.6960
Pb 2.0904 -8.7314 1.1907
Pb 0.1306 -5.4179 -2.1198
Pb -0.4028 -3.2362 0.4205
Na 2.3437 -5.2869 0.5946
Na 0.0000 0.0000 0.0000
Na 1.8305 -3.0950 3.0922
Na 2.8558 -7.4787 -1.9021
Li 0.5522 -2.2010 -2.5297
Li 0.9863 -4.3746 -4.9622
```

crystal system = orthorhombic
formation enthalpy at 0 K = -0.18 eV per atom
DOS(E_F) = 0.2436 states/eV/atom
V = 321.5 Å³ per cell

***

No. 13
VASP calculation (PBE-GGA) on a geometry-optimized NaCrSe2Br structure.

```
5
Lattice="-3.3055 1.6780 3.7338 -1.1085 -4.9868 1.2597 3.9129 0.0047 3.4620" Properties=species:S:1:pos:R:3 pbc="T T T"
Na 0.0000 0.0000 0.0000
Br 1.9565 0.0023 1.7310
Se -1.6528 0.8390 1.8669
Se -0.5543 -2.4934 0.6298
Cr -0.2506 -1.6520 4.2277
```

formation energy (no corrections) = 0.535 eV per atom
crystal system = tetragonal
DOS(E_F) = 0.8978 states/eV/atom
V = 144.6 Å³ per cell

***

No. 14
VASP calculation (PBE-GGA) on a geometry-optimized MnFeAs structure.

```
3
Lattice="-2.1960 2.9251 1.4683 -0.1610 -3.5894 1.6201 2.1996 0.7299 1.8358" Properties=species:S:1:pos:R:3 pbc="T T T"
Mn 0.6269 -0.9314 2.7932
Fe -1.1507 0.8754 1.8251
As 0.3664 0.1216 0.3058
```

crystal system = hexagonal
formation enthalpy at 0 K = 0.02 eV per atom
DOS(E_F) = 0.9767 states/eV/atom
V = 39.8 Å³ per cell

***

No. 15
VASP calculation (PBE-GGA) on a geometry-optimized HoIn3Pd12 structure.

```
16
Lattice="-0.2261 -4.0517 -0.0020 3.6360 -0.2020 -1.7906 7.1532 -0.4062 14.5713" Properties=species:S:1:pos:R:3 pbc="T T T"
In 3.5766 -0.2031 7.2856
In 1.8175 -0.1032 3.7023
In 5.3357 -0.3030 10.8690
Pd 3.5048 -2.2290 2.7701
Pd 6.2781 -0.3543 8.1901
Pd 5.2815 -2.3299 6.3894
Pd 1.7049 -2.1268 -0.8963
Pd 7.0583 -2.4308 10.0087
Pd 2.5800 -2.1788 5.4849
Pd 8.0496 -0.4549 11.7988
Pd 6.1186 -2.3797 12.6931
Pd 2.7395 -0.1533 0.9820
Pd 4.5110 -0.2539 4.5906
Pd 0.8085 -2.0782 1.8763
Pd 4.3471 -2.2791 9.0844
Ho 0.0000 0.0000 0.0000
```

crystal system = tetragonal
formation enthalpy at 0 K = -0.54 eV per atom
DOS(E_F) = 0.9764 states/eV/atom
V = 267.4 Å³ per cell

***

No. 16
VASP calculation (PBE-GGA) on a geometry-optimized Ba3YZn structure.

```
5
Lattice="6.3640 0.0000 0.0000 0.0000 6.3640 0.0000 0.0000 0.0000 6.3640" Properties=species:S:1:pos:R:3 pbc="T T T"
Ba 0.0000 0.0000 3.1820
Ba 3.1820 0.0000 0.0000
Ba 0.0000 3.1820 0.0000
Y 3.1820 3.1820 3.1820
Zn 0.0000 0.0000 0.0000
```

crystal system = cubic
formation enthalpy at 0 K = 0.31 eV per atom
DOS(E_F) = 2.7505 states/eV/atom
V = 257.7 Å³ per cell

***

No. 17
VASP calculation (PBE-GGA) on a geometry-optimized SrEr2Al structure.

```
4
Lattice="3.6285 0.0000 0.0000 0.0000 3.6285 0.0000 0.0000 0.0000 9.5359" Properties=species:S:1:pos:R:3 pbc="T T T"
Al 1.8142 1.8142 0.0000
Er 0.0000 0.0000 7.7916
Er 0.0000 0.0000 1.7443
Sr 1.8142 1.8142 4.7679
```

crystal system = tetragonal
formation enthalpy at 0 K = -0.09 eV per atom
DOS(E_F) = 0.8138 states/eV/atom
V = 125.5 Å³ per cell

***

No. 18
VASP calculation (PBE-GGA) on a geometry-optimized K2MgCuH5 structure.

```
18
Lattice="3.2313 0.0000 0.0000 -1.6157 7.3149 0.0000 0.0000 0.0000 11.3433" Properties=species:S:1:pos:R:3 pbc="T T T"
H 0.0000 7.2583 3.4517
H 1.6157 2.6837 5.7997
H 1.6157 2.8482 1.6755
H 1.6157 2.6052 10.2974
H 0.0000 4.4667 7.3471
H 0.0000 0.7172 11.2794
H 0.0000 4.7097 4.6258
H 0.0000 4.6312 0.1280
H 1.6157 6.5977 5.6078
H 1.6157 0.0566 9.1233
Cu 0.0000 6.3476 4.7810
Cu 1.6157 0.9673 10.4527
K 0.0000 1.5294 7.5858
K 0.0000 1.9589 3.8186
K 1.6157 5.3559 9.4903
K 1.6157 5.7855 1.9141
Mg 0.0000 2.7750 0.3589
Mg 1.6157 4.5399 6.0305
```

raw total energy = -2.900 eV per atom
crystal system = orthorhombic
DOS(E_F) = 0.0000 states/eV/atom
V = 268.1 Å³ per cell

***

No. 19
VASP calculation (PBE-GGA) on a geometry-optimized Pr4AsS3 structure.

```
8
Lattice="5.8826 0.0000 0.0000 0.0000 5.8826 0.0000 0.0000 0.0000 5.8826" Properties=species:S:1:pos:R:3 pbc="T T T"
S 2.9413 0.0000 2.9413
S 0.0000 2.9413 2.9413
S 2.9413 2.9413 0.0000
Pr 0.0000 2.9413 0.0000
Pr 0.0000 0.0000 2.9413
Pr 2.9413 0.0000 0.0000
Pr 2.9413 2.9413 2.9413
As 0.0000 0.0000 0.0000
```

formation energy (no corrections) = -1.910 eV per atom
crystal system = cubic
DOS(E_F) = 0.2160 states/eV/atom
V = 203.6 Å³ per cell

***

No. 20
VASP calculation (PBE-GGA) on a geometry-optimized Th2AgHgRu structure.

```
10
Lattice="4.0028 0.0000 0.0000 0.0000 8.1526 0.1921 0.0000 -3.1868 7.6408" Properties=species:S:1:pos:R:3 pbc="T T T"
Ag 1.0007 2.3961 4.9810
Ag 3.0021 2.5697 2.8519
Ru 1.0007 4.4450 6.8852
Ru 3.0021 0.5208 0.9477
Hg 3.0021 0.2586 5.3750
Hg 1.0007 4.7072 2.4579
Th 3.0021 5.1277 5.0780
Th 1.0007 -0.9190 7.6926
Th 1.0007 -0.1619 2.7549
Th 3.0021 5.8848 0.1403
```

crystal system = monoclinic
formation enthalpy at 0 K = -0.31 eV per atom
DOS(E_F) = 0.7653 states/eV/atom
V = 251.8 Å³ per cell